1.
Computed, not measured: a relaxed structure of CsTlBi3 at the PBE-GGA level of DFT.

Results
Spin magnetization = 0.00 Bohr magnetons per cell
V = 52.506 A^3/atom
Raw total energy = -1.87 eV/atom
Density of states at the Fermi level = 1.301 states/eV/atom
Formation energy = 1.102 eV/atom
Polymorph energy (0 for the lowest one) = 798 meV per atom

Cell and atoms, written as POSCAR:
```
CsTlBi3
1.0
6.403 0.000 0.000
0.000 6.403 0.000
0.000 0.000 6.403
Cs Tl Bi
1 1 3
Direct
0.000 0.000 0.000 Cs
0.500 0.500 0.500 Tl
0.000 0.000 0.500 Bi
0.000 0.500 0.000 Bi
0.500 0.000 0.000 Bi
```

=====

2.
Computed, not measured: a relaxed structure of Be5CuPt4 at the PBE-GGA level of DFT.

Results
Spin magnetization = 0.00 Bohr magnetons per cell
V = 11.265 A^3/atom
Raw total energy = -5.32 eV/atom
Density of states at the Fermi level = 0.186 states/eV/atom
Formation energy = -0.631 eV/atom

Cell and atoms, written as POSCAR:
```
Be5CuPt4
1.0
2.799 0.000 0.000
0.000 2.799 0.000
0.000 0.000 14.382
Be Cu Pt
5 1 4
Direct
0.000 0.000 0.000 Be
0.000 0.000 0.205 Be
0.000 0.000 0.408 Be
0.000 0.000 0.592 Be
0.000 0.000 0.795 Be
0.500 0.500 0.500 Cu
0.500 0.500 0.102 Pt
0.500 0.500 0.307 Pt
0.500 0.500 0.693 Pt
0.500 0.500 0.898 Pt
```

=====

3.
Computed, not measured: a relaxed structure of PmNi3P at the PBE-GGA level of DFT.

Results
Spin magnetization = 0.00 Bohr magnetons per cell
V = 15.953 A^3/atom
Raw total energy = -5.98 eV/atom
Density of states at the Fermi level = 0.242 states/eV/atom
Formation energy = -0.476 eV/atom

Cell and atoms, written as POSCAR:
```
PmNi3P
1.0
4.305 0.000 0.000
0.000 4.305 0.000
0.000 0.000 4.305
Pm Ni P
1 3 1
Direct
0.000 0.000 0.000 Pm
0.000 0.500 0.500 Ni
0.500 0.000 0.500 Ni
0.500 0.500 0.000 Ni
0.500 0.500 0.500 P
```

=====

4.
Computed, not measured: a relaxed structure of Sr2Li4SnPb3 at the PBE-GGA level of DFT.

Results
Spin magnetization = 0.00 Bohr magnetons per cell
V = 26.273 A^3/atom
Raw total energy = -2.98 eV/atom
Density of states at the Fermi level = 0.506 states/eV/atom
Formation energy = -0.364 eV/atom

Cell and atoms, written as POSCAR:
```
Sr2Li4SnPb3
1.0
4.858 0.000 0.000
0.000 4.858 0.000
0.000 0.000 11.132
Sr Li Sn Pb
2 4 1 3
Direct
0.000 0.500 0.248 Sr
0.500 0.000 0.752 Sr
0.000 0.000 0.000 Li
0.000 0.500 0.632 Li
0.500 0.000 0.368 Li
0.500 0.500 0.000 Li
0.000 0.000 0.500 Sn
0.000 0.500 0.878 Pb
0.500 0.000 0.122 Pb
0.500 0.500 0.500 Pb
```

=====

5.
Computed, not measured: a relaxed structure of Ca3NiP4 at the PBE-GGA level of DFT.

Results
Spin magnetization = 0.00 Bohr magnetons per cell
V = 21.005 A^3/atom
Raw total energy = -5.08 eV/atom
Density of states at the Fermi level = 0.340 states/eV/atom
Formation energy = -0.898 eV/atom

Cell and atoms, written as POSCAR:
```
Ca3NiP4
1.0
-2.207 2.641 7.208
2.207 -2.641 7.208
2.207 2.641 -7.208
Ca Ni P
3 1 4
Direct
0.000 0.000 0.000 Ca
0.308 0.808 0.500 Ca
0.692 0.192 0.500 Ca
0.500 0.500 0.000 Ni
0.096 0.383 0.713 P
0.330 0.617 0.713 P
0.670 0.383 0.287 P
0.904 0.617 0.287 P
```

=====

6.
Computed, not measured: a relaxed structure of Cs2LiZrI6 at the PBE-GGA level of DFT.

Results
Spin magnetization = 1.00 Bohr magnetons per cell
V = 42.193 A^3/atom
Raw total energy = -3.33 eV/atom
Raw formation energy = -1.18 eV/atom
Density of states at the Fermi level = 0.686 states/eV/atom
Polymorph energy (0 for the lowest one) = 18 meV per atom

Cell and atoms, written as POSCAR:
```
Cs2LiZrI6
1.0
-4.211 4.211 5.950
4.211 -4.211 5.950
4.211 4.211 -5.950
Cs Li Zr I
2 1 1 6
Direct
0.250 0.750 0.500 Cs
0.750 0.250 0.500 Cs
0.000 0.000 0.000 Li
0.500 0.500 0.000 Zr
0.253 0.253 0.000 I
0.253 0.253 0.507 I
0.253 0.747 0.000 I
0.747 0.253 0.000 I
0.747 0.747 0.000 I
0.747 0.747 0.493 I
```

=====

7.
Computed, not measured: a relaxed structure of RbSmTm2 at the PBE-GGA level of DFT.

Results
Spin magnetization = 0.00 Bohr magnetons per cell
V = 36.897 A^3/atom
Raw total energy = -3.33 eV/atom
Density of states at the Fermi level = 1.299 states/eV/atom
Formation energy = 0.327 eV/atom

Cell and atoms, written as POSCAR:
```
RbSmTm2
1.0
1.802 1.041 13.115
-1.802 1.041 13.115
0.000 -2.081 13.115
Rb Sm Tm
1 1 2
Direct
0.000 0.000 0.000 Rb
0.500 0.500 0.500 Sm
0.095 0.095 0.095 Tm
0.905 0.905 0.905 Tm
```

=====

8.
Computed, not measured: a relaxed structure of RuSeF at the PBE-GGA level of DFT.

Results
Spin magnetization = 0.00 Bohr magnetons per cell
V = 14.616 A^3/atom
Raw total energy = -5.16 eV/atom
Raw formation energy = -0.28 eV/atom
Density of states at the Fermi level = 0.655 states/eV/atom

Cell and atoms, written as POSCAR:
```
RuSeF
1.0
4.277 0.000 0.000
-2.139 3.704 0.000
0.000 0.000 8.303
Ru Se F
3 3 3
Direct
0.079 0.040 0.000 Ru
0.960 0.040 0.667 Ru
0.960 0.921 0.333 Ru
0.296 0.591 0.333 Se
0.296 0.704 0.667 Se
0.409 0.704 0.000 Se
0.628 0.256 0.333 F
0.628 0.372 0.667 F
0.744 0.372 0.000 F
```

=====

9.
Computed, not measured: a relaxed structure of Rb4Pu3ZrSe8 at the PBE-GGA level of DFT.

Results
Spin magnetization = 16.00 Bohr magnetons per cell
V = 31.043 A^3/atom
Raw total energy = -6.62 eV/atom
Raw formation energy = -1.42 eV/atom
Density of states at the Fermi level = 2.093 states/eV/atom

Cell and atoms, written as POSCAR:
```
Rb4Pu3ZrSe8
1.0
4.238 2.447 7.981
-4.238 2.447 7.981
0.000 -4.894 7.981
Rb Pu Zr Se
4 3 1 8
Direct
0.000 0.000 0.000 Rb
0.000 0.500 0.500 Rb
0.500 0.000 0.500 Rb
0.500 0.500 0.000 Rb
0.000 0.000 0.500 Pu
0.000 0.500 0.000 Pu
0.500 0.000 0.000 Pu
0.500 0.500 0.500 Zr
0.233 0.233 0.233 Se
0.248 0.723 0.723 Se
0.277 0.277 0.752 Se
0.277 0.752 0.277 Se
0.723 0.248 0.723 Se
0.723 0.723 0.248 Se
0.752 0.277 0.277 Se
0.767 0.767 0.767 Se
```

=====

10.
Computed, not measured: a relaxed structure of Sc2Tc2P2C at the PBE-GGA level of DFT.

Results
Spin magnetization = 0.00 Bohr magnetons per cell
V = 15.254 A^3/atom
Raw total energy = -8.30 eV/atom
Density of states at the Fermi level = 0.518 states/eV/atom
Formation energy = -0.661 eV/atom

Cell and atoms, written as POSCAR:
```
Sc2Tc2P2C
1.0
-2.012 2.012 6.594
2.012 -2.012 6.594
2.012 2.012 -6.594
Sc Tc P C
2 2 2 1
Direct
0.171 0.171 0.000 Sc
0.829 0.829 0.000 Sc
0.000 0.500 0.500 Tc
0.500 0.000 0.500 Tc
0.373 0.373 0.000 P
0.627 0.627 0.000 P
0.000 0.000 0.000 C
```

=====

11.
Computed, not measured: a relaxed structure of Dy2Tl2Hg at the PBE-GGA level of DFT.

Results
Spin magnetization = 0.34 Bohr magnetons per cell
V = 27.756 A^3/atom
Raw total energy = -3.09 eV/atom
Density of states at the Fermi level = 0.689 states/eV/atom
Formation energy = -0.240 eV/atom
Polymorph energy (0 for the lowest one) = 48 meV per atom

Cell and atoms, written as POSCAR:
```
Dy2Tl2Hg
1.0
1.820 -10.716 0.000
1.820 10.716 0.000
0.000 0.000 3.559
Dy Tl Hg
2 2 1
Direct
0.092 0.908 0.000 Dy
0.908 0.092 0.000 Dy
0.310 0.690 0.500 Tl
0.690 0.310 0.500 Tl
0.500 0.500 0.500 Hg
```

=====

12.
Computed, not measured: a relaxed structure of SmThPdAu at the PBE-GGA level of DFT.

Results
Spin magnetization = 0.00 Bohr magnetons per cell
V = 25.190 A^3/atom
Raw total energy = -5.93 eV/atom
Density of states at the Fermi level = 0.682 states/eV/atom
Formation energy = -0.779 eV/atom
Polymorph energy (0 for the lowest one) = 0 meV per atom

Cell and atoms, written as POSCAR:
```
SmThPdAu
1.0
4.589 0.000 0.000
0.000 1.926 5.700
0.000 -1.926 5.700
Sm Th Pd Au
1 1 1 1
Direct
0.000 0.000 0.000 Sm
0.500 0.275 0.275 Th
0.000 0.733 0.733 Pd
0.500 0.555 0.555 Au
```